# 1
A geometry-optimized TaCuAsIr structure, computed with PBE.

- energy above the lowest structure with this stoichiometry (meV per atom) = 0.0
- total magnetization (μB/cell) = 0.00

Cell lengths 4.444, 4.444, 4.444 Å; angles 60.00, 60.00, 60.00 degrees
Sites, in units of the cell vectors:
Ta1 0.000 0.000 0.000
Cu1 0.500 0.500 0.500
As1 0.250 0.250 0.250
Ir1 0.750 0.750 0.750


# 2
A geometry-optimized GdTmMo structure, computed with PBE.

- energy (eV per atom) = -5.4578
- total magnetization (μB/cell) = 1.83

Cell lengths 4.896, 4.896, 4.896 Å; angles 60.00, 60.00, 60.00 degrees
Sites, in units of the cell vectors:
Gd1 0.000 0.000 0.000
Tm1 0.250 0.250 0.250
Mo1 0.500 0.500 0.500


# 3
A geometry-optimized Nd3TeO6 structure, computed with PBE.

- energy (eV per atom) = -7.1959
- total magnetization (μB/cell) = 2.00

Cell lengths 6.065, 6.136, 10.270 Å; angles 90.00, 123.90, 90.00 degrees
Sites, in units of the cell vectors:
Nd1 0.000 0.000 0.000
Nd2 0.000 0.500 0.500
Nd3 0.218 0.060 0.730
Nd4 0.218 0.440 0.230
Nd5 0.782 0.560 0.770
Nd6 0.782 0.940 0.270
Te1 0.500 0.000 0.500
Te2 0.500 0.500 0.000
O1 0.136 0.156 0.464
O2 0.136 0.344 0.964
O3 0.162 0.689 0.378
O4 0.162 0.811 0.878
O5 0.403 0.063 0.258
O6 0.403 0.437 0.758
O7 0.597 0.563 0.242
O8 0.597 0.937 0.742
O9 0.838 0.189 0.122
O10 0.838 0.311 0.622
O11 0.864 0.656 0.036
O12 0.864 0.844 0.536


# 4
A geometry-optimized CoNiHgPb structure, computed with PBE.

- energy above the lowest structure with this stoichiometry (meV per atom) = 259.4
- total magnetization (μB/cell) = 1.81

Cell lengths 4.681, 4.681, 4.681 Å; angles 60.00, 60.00, 60.00 degrees
Sites, in units of the cell vectors:
Co1 0.000 0.000 0.000
Ni1 0.750 0.750 0.750
Hg1 0.250 0.250 0.250
Pb1 0.500 0.500 0.500


# 5
A geometry-optimized LaAg2 structure, computed with PBE.

- energy (eV per atom) = -3.6971
- total magnetization (μB/cell) = 0.66

Cell lengths 5.800, 5.800, 5.800 Å; angles 60.00, 60.00, 60.00 degrees
Sites, in units of the cell vectors:
La1 0.125 0.125 0.125
La2 0.875 0.875 0.875
Ag1 0.000 0.500 0.500
Ag2 0.500 0.000 0.500
Ag3 0.500 0.500 0.000
Ag4 0.500 0.500 0.500


# 6
A geometry-optimized Lu3B2Sb structure, computed with PBE.

- energy (eV per atom) = -5.3556
- total magnetization (μB/cell) = 0.03

Cell lengths 3.553, 3.553, 22.379 Å; angles 90.00, 90.00, 120.00 degrees
Sites, in units of the cell vectors:
Lu1 0.000 0.000 0.000
Lu2 0.000 0.000 0.500
Lu3 0.333 0.667 0.140
Lu4 0.333 0.667 0.360
Lu5 0.667 0.333 0.640
Lu6 0.667 0.333 0.860
B1 0.333 0.667 0.575
B2 0.333 0.667 0.925
B3 0.667 0.333 0.075
B4 0.667 0.333 0.425
Sb1 0.000 0.000 0.250
Sb2 0.000 0.000 0.750


# 7
A geometry-optimized Re3W2 structure, computed with PBE.

- energy above the lowest structure with this stoichiometry (meV per atom) = 5.1
- total magnetization (μB/cell) = 0.02

Cell lengths 9.639, 9.639, 5.016 Å; angles 90.00, 90.00, 90.00 degrees
Sites, in units of the cell vectors:
Re1 0.000 0.000 0.000
Re2 0.035 0.366 0.500
Re3 0.064 0.262 0.000
Re4 0.134 0.535 0.000
Re5 0.238 0.564 0.500
Re6 0.262 0.064 0.000
Re7 0.366 0.035 0.500
Re8 0.436 0.762 0.500
Re9 0.465 0.866 0.000
Re10 0.500 0.500 0.500
Re11 0.535 0.134 0.000
Re12 0.564 0.238 0.500
Re13 0.634 0.965 0.500
Re14 0.738 0.936 0.000
Re15 0.762 0.436 0.500
Re16 0.866 0.465 0.000
Re17 0.936 0.738 0.000
Re18 0.965 0.634 0.500
W1 0.102 0.102 0.500
W2 0.184 0.816 0.250
W3 0.184 0.816 0.750
W4 0.316 0.316 0.250
W5 0.316 0.316 0.750
W6 0.398 0.602 0.000
W7 0.602 0.398 0.000
W8 0.684 0.684 0.250
W9 0.684 0.684 0.750
W10 0.816 0.184 0.250
W11 0.816 0.184 0.750
W12 0.898 0.898 0.500


# 8
A geometry-optimized DyTmNi2B4 structure, computed with PBE.

- energy (eV per atom) = -6.1178
- total magnetization (μB/cell) = 0.14

Cell lengths 3.642, 3.642, 7.743 Å; angles 90.00, 90.00, 90.00 degrees
Sites, in units of the cell vectors:
Dy1 0.000 0.000 0.000
Tm1 0.500 0.500 0.645
Ni1 0.000 0.500 0.324
Ni2 0.500 0.000 0.324
B1 0.000 0.000 0.457
B2 0.000 0.000 0.666
B3 0.500 0.500 0.188
B4 0.500 0.500 0.978


| no. | calculated density (g/cm3) |
| --- | --- |
| 1 | 13.692 |
| 2 | 8.449 |
| 3 | 6.871 |
| 4 | 12.033 |
| 5 | 8.537 |
| 6 | 9.071 |
| 7 | 19.801 |
| 8 | 7.957 |